[1]
Here is a relaxed TbTlHg2Cl8 crystal from Alexandria. Energies are from PBE.

Results
Crystal system: triclinic

Structure (extended XYZ):
```
12
Lattice="6.7710 0.1246 0.4784 0.1411 6.7076 0.9247 0.6244 1.2815 8.9041" Properties=species:S:1:pos:R:3 pbc="T T T"
Tb 0.0000 0.0000 0.0000
Tl 0.3122 0.6407 4.4520
Hg 3.7435 4.1134 7.1889
Hg 3.7930 4.0002 3.1183
Cl 1.1834 5.3251 2.9260
Cl 4.6393 5.2379 1.2460
Cl 5.6815 1.7107 2.2532
Cl 6.3531 2.7886 7.3812
Cl 2.8972 2.8758 9.0611
Cl 1.8550 6.4029 8.0540
Cl 4.4975 5.6441 5.5243
Cl 3.0390 2.4696 4.7828
```

=====

[2]
Here is a relaxed TcHgCl crystal from Alexandria. Energies are from PBE.

Results
Crystal system: cubic

Structure (extended XYZ):
```
3
Lattice="-4.0697 -1.1415 1.8820 -0.1502 -1.8629 4.2325 -1.6767 2.4509 3.5481" Properties=species:S:1:pos:R:3 pbc="T T T"
Cl 0.0000 0.0000 0.0000
Hg -2.9483 -0.2768 4.8313
Tc -4.4224 -0.4151 7.2470
```

=====

[3]
Here is a relaxed TcHgCl crystal from Alexandria. Energies are from PBE.

Results
Crystal system: orthorhombic

Structure (extended XYZ):
```
3
Lattice="-5.5221 -1.3097 -6.4718 -5.3820 -3.9694 -4.9257 -2.2760 2.0350 0.4028" Properties=species:S:1:pos:R:3 pbc="T T T"
Cl -2.6407 1.7259 -0.0959
Hg -4.9039 -0.1927 -3.1913
Tc -7.9116 -2.7422 -7.3047
```

=====

[4]
Here is a relaxed TcHgCl3 crystal from Alexandria. Energies are from PBE.

Results
Crystal system: monoclinic

Structure (extended XYZ):
```
20
Lattice="-3.8965 4.2047 4.1366 -6.6767 -7.0198 0.8462 4.7455 -3.4664 8.6874" Properties=species:S:1:pos:R:3 pbc="T T T"
Tc -2.5918 -2.8852 1.2559
Tc -1.4426 -5.9047 5.7546
Tc -4.3852 -0.3768 7.9156
Tc -3.2359 -3.3963 12.4143
Hg -2.5987 1.9738 7.6080
Hg -0.3276 -0.9768 1.0500
Hg -5.5002 -5.3047 12.6202
Hg -3.2291 -8.2553 6.0622
Cl -2.3508 -1.4219 7.5755
Cl -6.8697 -1.9451 3.5038
Cl -1.2197 -6.0733 8.1993
Cl -4.3288 -4.3747 1.8831
Cl -2.1199 -2.7919 3.6689
Cl -3.4770 -4.8596 6.0947
Cl -5.8370 -2.2400 7.6925
Cl -3.7079 -3.4896 10.0013
Cl -1.4990 -1.9068 11.7871
Cl -4.6080 -0.2082 5.4710
Cl 1.0419 -4.3364 10.1664
Cl 0.0092 -4.0415 5.9777
```

=====

Uncorrected formation energy in eV/f.u., matching the order above: -14.4, 2.5, 1.1, -2.0